Record 1
Entry from Alexandria: a relaxed Sc2NbPdPt5 crystal (GGA-PBE).

a = 7.652 Å, b = 7.652 Å, c = 7.688 Å
α = 119.85°, β = 119.85°, γ = 90.00°
Sites, in units of the cell vectors:
Sc1 0.117 0.383 0.000
Sc2 0.617 0.117 0.000
Sc3 0.383 0.883 0.000
Sc4 0.883 0.617 0.000
Nb1 0.250 0.250 0.500
Nb2 0.750 0.750 0.500
Pd1 0.250 0.750 0.500
Pd2 0.750 0.250 0.500
Pt1 0.927 0.427 0.269
Pt2 0.658 0.158 0.731
Pt3 0.073 0.573 0.731
Pt4 0.158 0.073 0.731
Pt5 0.573 0.658 0.731
Pt6 0.842 0.927 0.269
Pt7 0.427 0.342 0.269
Pt8 0.342 0.842 0.269
Pt9 0.500 0.500 0.000
Pt10 0.000 0.000 0.000

Summary:
The value obtained for the final energy is -6.85 eV/atom. As for the formation energy: -0.40 eV per atom.

=====

Record 2
Entry from Alexandria: a relaxed Nb2PdPtSe crystal (GGA-PBE).

a = 4.908 Å, b = 4.582 Å, c = 4.908 Å
α = 90.00°, β = 90.00°, γ = 90.00°
Sites, in units of the cell vectors:
Nb1 0.000 0.000 0.500
Nb2 0.500 0.000 0.000
Se1 0.000 0.500 0.000
Pd1 0.000 0.000 0.000
Pt1 0.500 0.500 0.500

Summary:
The formation energy from raw total energies comes out at 1.2075 eV per atom. The value obtained for the final energy is -5.76 eV/atom.

=====

Record 3
Entry from Alexandria: a relaxed TaNbPdPt crystal (GGA-PBE).

a = 3.346 Å, b = 3.346 Å, c = 6.052 Å
α = 90.00°, β = 90.00°, γ = 90.00°
Sites, in units of the cell vectors:
Ta1 0.000 0.000 0.835
Nb1 0.500 0.500 0.126
Pd1 0.000 0.000 0.350
Pt1 0.500 0.500 0.617

Summary:
The value obtained for the final energy is -8.75 eV/atom. As for the formation energy: -0.46 eV per atom.

=====

Record 4
Entry from Alexandria: a relaxed Ta4Nb2PdPt crystal (GGA-PBE).

a = 5.556 Å, b = 9.424 Å, c = 5.333 Å
α = 139.39°, β = 117.15°, γ = 86.77°
Sites, in units of the cell vectors:
Ta1 0.542 0.545 0.591
Ta2 0.797 0.297 0.096
Ta3 0.304 0.802 0.105
Ta4 0.050 0.050 0.596
Nb1 0.527 0.022 0.046
Nb2 0.318 0.324 0.645
Pd1 0.841 0.824 0.656
Pt1 0.009 0.524 0.038

Summary:
The value obtained for the final energy is -10.05 eV/atom. As for the formation energy: -0.20 eV per atom.

=====

Record 5
Entry from Alexandria: a relaxed Ti5NbPd2Pt2 crystal (GGA-PBE).

a = 2.919 Å, b = 10.968 Å, c = 10.968 Å
α = 90.00°, β = 90.00°, γ = 90.00°
Sites, in units of the cell vectors:
Ti1 0.500 0.153 0.144
Ti2 0.500 0.847 0.856
Ti3 0.500 0.144 0.847
Ti4 0.500 0.653 0.356
Ti5 0.500 0.856 0.153
Ti6 0.500 0.347 0.644
Ti7 0.500 0.644 0.653
Ti8 0.500 0.356 0.347
Ti9 0.500 0.500 0.000
Ti10 0.500 0.000 0.500
Nb1 0.000 0.000 0.000
Nb2 0.000 0.500 0.500
Pd1 0.000 0.647 0.147
Pd2 0.000 0.353 0.853
Pd3 0.000 0.147 0.353
Pd4 0.000 0.853 0.647
Pt1 0.000 0.144 0.644
Pt2 0.000 0.856 0.356
Pt3 0.000 0.644 0.856
Pt4 0.000 0.356 0.144

Summary:
The value obtained for the final energy is -7.51 eV/atom. As for the formation energy: -0.30 eV per atom.

=====

Record 6
Entry from Alexandria: a relaxed TiNbPdPt2 crystal (GGA-PBE).

a = 4.838 Å, b = 4.838 Å, c = 4.664 Å
α = 90.00°, β = 90.00°, γ = 90.00°
Sites, in units of the cell vectors:
Nb1 0.000 0.000 0.000
Pd1 0.500 0.500 0.500
Pt1 0.000 0.500 0.000
Pt2 0.500 0.000 0.000
Ti1 0.000 0.000 0.500

Summary:
The value obtained for the final energy is -6.11 eV/atom. As for the formation energy: 0.94 eV per atom.

=====

Record 7
Entry from Alexandria: a relaxed Ti2NbPdPt5 crystal (GGA-PBE).

a = 7.433 Å, b = 7.433 Å, c = 7.572 Å
α = 119.40°, β = 119.40°, γ = 90.00°
Sites, in units of the cell vectors:
Ti1 0.109 0.391 0.000
Ti2 0.609 0.109 0.000
Ti3 0.391 0.891 0.000
Ti4 0.891 0.609 0.000
Nb1 0.250 0.250 0.500
Nb2 0.750 0.750 0.500
Pd1 0.250 0.750 0.500
Pd2 0.750 0.250 0.500
Pt1 0.919 0.419 0.263
Pt2 0.656 0.156 0.737
Pt3 0.081 0.581 0.737
Pt4 0.156 0.081 0.737
Pt5 0.581 0.656 0.737
Pt6 0.844 0.919 0.263
Pt7 0.419 0.344 0.263
Pt8 0.344 0.844 0.263
Pt9 0.500 0.500 0.000
Pt10 0.000 0.000 0.000

Summary:
The value obtained for the final energy is -7.14 eV/atom. As for the formation energy: -0.34 eV per atom.

=====

Record 8
Entry from Alexandria: a relaxed NbVPdPt crystal (GGA-PBE).

a = 4.466 Å, b = 4.466 Å, c = 4.466 Å
α = 60.00°, β = 60.00°, γ = 60.00°
Last column: magnetic moment on the atom in μB.
Sites, in units of the cell vectors:
Nb1 0.000 0.000 0.000  0.18
Pd1 0.500 0.500 0.500  0.06
Pt1 0.250 0.250 0.250  0.07
V1 0.750 0.750 0.750  1.52

Summary:
The value obtained for the final energy is -7.87 eV/atom. As for the formation energy: -0.26 eV per atom.

=====

Record 9
Entry from Alexandria: a relaxed PuNbPd2 crystal (GGA-PBE).

a = 2.953 Å, b = 2.953 Å, c = 8.441 Å
α = 90.00°, β = 90.00°, γ = 90.00°
Last column: magnetic moment on the atom in μB.
Sites, in units of the cell vectors:
Nb1 0.500 0.500 0.500  0.06
Pd1 0.000 0.000 0.725  0.06
Pd2 0.000 0.000 0.275  0.06
Pu1 0.500 0.500 0.000  5.48

Summary:
For the excess energy over the best structure of this formula in the dataset, the calculation gives 0.000 eV/atom. The value obtained for the final energy is -8.97 eV/atom. As for the formation energy: -0.27 eV per atom.

=====

Record 10
Entry from Alexandria: a relaxed PuNbPd14 crystal (GGA-PBE).

a = 5.743 Å, b = 5.743 Å, c = 7.791 Å
α = 90.00°, β = 90.00°, γ = 90.00°
Last column: magnetic moment on the atom in μB.
Sites, in units of the cell vectors:
Pu1 0.375 0.375 0.500  4.54
Nb1 0.875 0.875 0.500  -0.03
Pd1 0.875 0.875 0.000  -0.12
Pd2 0.375 0.375 0.000  0.01
Pd3 0.875 0.375 0.500  -0.05
Pd4 0.875 0.375 0.000  -0.05
Pd5 0.375 0.875 0.500  -0.05
Pd6 0.375 0.875 0.000  -0.05
Pd7 0.630 0.120 0.251  -0.06
Pd8 0.630 0.120 0.749  -0.06
Pd9 0.120 0.630 0.251  -0.06
Pd10 0.120 0.630 0.749  -0.06
Pd11 0.630 0.630 0.251  -0.06
Pd12 0.630 0.630 0.749  -0.06
Pd13 0.120 0.120 0.251  -0.06
Pd14 0.120 0.120 0.749  -0.06

Summary:
The value obtained for the final energy is -6.33 eV/atom. As for the formation energy: -0.26 eV per atom.

=====

Record 11
Entry from Alexandria: a relaxed PuNbPd2 crystal (GGA-PBE).

a = 4.781 Å, b = 4.781 Å, c = 4.784 Å
α = 60.02°, β = 60.02°, γ = 60.00°
Last column: magnetic moment on the atom in μB.
Sites, in units of the cell vectors:
Nb1 0.500 0.500 0.500  0.65
Pd1 0.750 0.750 0.750  0.06
Pd2 0.250 0.250 0.250  0.06
Pu1 0.000 0.000 0.000  5.11

Summary:
For the excess energy over the best structure of this formula in the dataset, the calculation gives 0.206 eV/atom. The value obtained for the final energy is -8.76 eV/atom. As for the formation energy: -0.07 eV per atom.

=====

Record 12
Entry from Alexandria: a relaxed PuNb2Pd9 crystal (GGA-PBE).

a = 4.035 Å, b = 4.035 Å, c = 12.168 Å
α = 90.00°, β = 90.00°, γ = 90.00°
Last column: magnetic moment on the atom in μB.
Sites, in units of the cell vectors:
Pu1 0.000 0.000 0.000  5.07
Nb1 0.000 0.000 0.335  0.43
Nb2 0.000 0.000 0.665  0.43
Pd1 0.500 0.500 0.000  -0.01
Pd2 0.500 0.500 0.341  0.02
Pd3 0.500 0.500 0.659  0.02
Pd4 0.500 0.000 0.182  0.01
Pd5 0.500 0.000 0.500  0.04
Pd6 0.500 0.000 0.818  0.01
Pd7 0.000 0.500 0.182  0.01
Pd8 0.000 0.500 0.500  0.04
Pd9 0.000 0.500 0.818  0.01

Summary:
The value obtained for the final energy is -7.17 eV/atom. As for the formation energy: -0.40 eV per atom.

=====

Record 13
Entry from Alexandria: a relaxed RbNbPd2 crystal (GGA-PBE).

a = 7.722 Å, b = 7.722 Å, c = 6.518 Å
α = 53.67°, β = 53.67°, γ = 90.00°
Sites, in units of the cell vectors:
Nb1 0.000 0.000 0.000
Nb2 0.750 0.250 0.500
Rb1 0.500 0.500 0.000
Rb2 0.250 0.750 0.500
Pd1 0.699 0.125 0.250
Pd2 0.051 0.625 0.250
Pd3 0.375 0.301 0.750
Pd4 0.875 0.949 0.750

Summary:
For the excess energy over the best structure of this formula in the dataset, the calculation gives 0.000 eV/atom. The value obtained for the final energy is -4.65 eV/atom. As for the formation energy: 0.70 eV per atom.

=====

Record 14
Entry from Alexandria: a relaxed Rb3NbPd crystal (GGA-PBE).

a = 6.392 Å, b = 6.392 Å, c = 6.392 Å
α = 90.00°, β = 90.00°, γ = 90.00°
Last column: magnetic moment on the atom in μB.
Sites, in units of the cell vectors:
Nb1 0.500 0.500 0.500  3.24
Rb1 0.000 0.500 0.000  0.01
Rb2 0.000 0.000 0.500  0.01
Rb3 0.500 0.000 0.000  0.01
Pd1 0.000 0.000 0.000  0.00

Summary:
For the excess energy over the best structure of this formula in the dataset, the calculation gives 0.000 eV/atom. The value obtained for the final energy is -2.49 eV/atom. As for the formation energy: 1.14 eV per atom.

=====

Record 15
Entry from Alexandria: a relaxed RbNb2Pd crystal (GGA-PBE).

a = 4.475 Å, b = 4.475 Å, c = 10.907 Å
α = 78.16°, β = 78.16°, γ = 90.00°
Sites, in units of the cell vectors:
Nb1 0.763 0.125 0.250
Nb2 0.987 0.625 0.250
Nb3 0.375 0.237 0.750
Nb4 0.875 0.013 0.750
Rb1 0.500 0.500 0.000
Rb2 0.250 0.750 0.500
Pd1 0.000 0.000 0.000
Pd2 0.750 0.250 0.500

Summary:
For the excess energy over the best structure of this formula in the dataset, the calculation gives 0.000 eV/atom. The value obtained for the final energy is -5.34 eV/atom. As for the formation energy: 1.24 eV per atom.

=====

Record 16
Entry from Alexandria: a relaxed RbNbPd2 crystal (GGA-PBE).

a = 4.912 Å, b = 4.912 Å, c = 4.912 Å
α = 60.00°, β = 60.00°, γ = 60.00°
Last column: magnetic moment on the atom in μB.
Sites, in units of the cell vectors:
Nb1 0.500 0.500 0.500  1.36
Rb1 0.000 0.000 0.000  0.03
Pd1 0.250 0.250 0.250  0.02
Pd2 0.750 0.750 0.750  0.02

Summary:
For the excess energy over the best structure of this formula in the dataset, the calculation gives 0.085 eV/atom. The value obtained for the final energy is -4.57 eV/atom. As for the formation energy: 0.79 eV per atom.

=====

Record 17
Entry from Alexandria: a relaxed RbNb2Pd crystal (GGA-PBE).

a = 4.791 Å, b = 4.791 Å, c = 4.791 Å
α = 60.00°, β = 60.00°, γ = 60.00°
Sites, in units of the cell vectors:
Nb1 0.250 0.250 0.250
Nb2 0.750 0.750 0.750
Rb1 0.000 0.000 0.000
Pd1 0.500 0.500 0.500

Summary:
For the excess energy over the best structure of this formula in the dataset, the calculation gives 0.049 eV/atom. The value obtained for the final energy is -5.29 eV/atom. As for the formation energy: 1.29 eV per atom.

=====

Record 18
Entry from Alexandria: a relaxed Rb2NbPdS4 crystal (GGA-PBE).

a = 5.806 Å, b = 7.603 Å, c = 11.834 Å
α = 84.63°, β = 75.80°, γ = 67.55°
Sites, in units of the cell vectors:
Rb1 0.177 0.000 0.647
Rb2 0.823 0.000 0.353
Rb3 0.573 0.500 0.853
Rb4 0.927 0.500 0.147
Nb1 0.250 0.500 0.500
Nb2 0.500 0.000 0.000
Pd1 0.750 0.500 0.500
Pd2 0.000 0.000 0.000
S1 0.310 0.801 0.109
S2 0.220 0.199 0.891
S3 0.890 0.801 0.891
S4 0.581 0.199 0.109
S5 0.440 0.699 0.391
S6 0.530 0.301 0.609
S7 0.860 0.699 0.609
S8 0.169 0.301 0.391

Summary:
The formation energy from raw total energies comes out at -0.9892 eV per atom. The value obtained for the final energy is -5.20 eV/atom.

=====

Record 19
Entry from Alexandria: a relaxed Rb3NbPd2Se6 crystal (GGA-PBE).

a = 7.022 Å, b = 7.022 Å, c = 7.895 Å
α = 98.35°, β = 98.35°, γ = 120.42°
Last column: magnetic moment on the atom in μB.
Sites, in units of the cell vectors:
Rb1 0.168 0.832 0.500  0.00
Rb2 0.832 0.168 0.500  0.00
Rb3 0.500 0.500 0.500  0.00
Nb1 0.000 0.000 0.000  0.82
Pd1 0.334 0.666 0.000  0.14
Pd2 0.666 0.334 0.000  0.14
Se1 0.942 0.609 0.832  0.02
Se2 0.725 0.725 0.170  0.02
Se3 0.058 0.391 0.168  0.02
Se4 0.609 0.942 0.832  0.02
Se5 0.275 0.275 0.830  0.02
Se6 0.391 0.058 0.168  0.02

Summary:
The formation energy from raw total energies comes out at -0.6285 eV per atom. The value obtained for the final energy is -4.32 eV/atom.

=====

Record 20
Entry from Alexandria: a relaxed RbNb2TlPd crystal (GGA-PBE).

a = 5.034 Å, b = 6.178 Å, c = 5.034 Å
α = 90.00°, β = 90.00°, γ = 90.00°
Last column: magnetic moment on the atom in μB.
Sites, in units of the cell vectors:
Rb1 0.000 0.500 0.000  0.02
Tl1 0.500 0.500 0.500  0.03
Nb1 0.000 0.000 0.500  0.94
Nb2 0.500 0.000 0.000  1.57
Pd1 0.000 0.000 0.000  0.02

Summary:
For the excess energy over the best structure of this formula in the dataset, the calculation gives 0.000 eV/atom. The value obtained for the final energy is -4.45 eV/atom. As for the formation energy: 1.29 eV per atom.

=====

Record 21
Entry from Alexandria: a relaxed RbNb2TlPd crystal (GGA-PBE).

a = 4.829 Å, b = 5.648 Å, c = 4.829 Å
α = 90.00°, β = 90.00°, γ = 90.00°
Last column: magnetic moment on the atom in μB.
Sites, in units of the cell vectors:
Rb1 0.000 0.000 0.000  0.03
Tl1 0.000 0.500 0.000  0.02
Nb1 0.000 0.000 0.500  0.40
Nb2 0.500 0.000 0.000  0.52
Pd1 0.500 0.500 0.500  0.07

Summary:
For the excess energy over the best structure of this formula in the dataset, the calculation gives 1.329 eV/atom. The value obtained for the final energy is -3.12 eV/atom. As for the formation energy: 2.62 eV per atom.

=====

Record 22
Entry from Alexandria: a relaxed NbRe2Pd crystal (GGA-PBE).

a = 4.068 Å, b = 3.918 Å, c = 3.918 Å
α = 90.00°, β = 90.00°, γ = 90.00°
Sites, in units of the cell vectors:
Re1 0.000 0.000 0.500
Re2 0.000 0.500 0.000
Nb1 0.500 0.000 0.000
Pd1 0.500 0.500 0.500

Summary:
For the excess energy over the best structure of this formula in the dataset, the calculation gives 0.000 eV/atom. The value obtained for the final energy is -10.09 eV/atom. As for the formation energy: -0.05 eV per atom.

=====

Record 23
Entry from Alexandria: a relaxed Nb14RePd crystal (GGA-PBE).

a = 6.560 Å, b = 6.560 Å, c = 6.608 Å
α = 90.00°, β = 90.00°, γ = 90.00°
Sites, in units of the cell vectors:
Nb1 0.875 0.875 0.000
Nb2 0.375 0.375 0.000
Nb3 0.875 0.375 0.500
Nb4 0.875 0.375 0.000
Nb5 0.375 0.875 0.500
Nb6 0.375 0.875 0.000
Nb7 0.621 0.129 0.252
Nb8 0.621 0.129 0.748
Nb9 0.129 0.621 0.252
Nb10 0.129 0.621 0.748
Nb11 0.621 0.621 0.252
Nb12 0.621 0.621 0.748
Nb13 0.129 0.129 0.252
Nb14 0.129 0.129 0.748
Re1 0.375 0.375 0.500
Pd1 0.875 0.875 0.500

Summary:
The value obtained for the final energy is -10.04 eV/atom. As for the formation energy: -0.12 eV per atom.

=====

Record 24
Entry from Alexandria: a relaxed NbRePd3 crystal (GGA-PBE).

a = 4.735 Å, b = 4.735 Å, c = 4.735 Å
α = 90.00°, β = 90.00°, γ = 90.00°
Sites, in units of the cell vectors:
Re1 0.000 0.000 0.000
Nb1 0.500 0.500 0.500
Pd1 0.000 0.500 0.000
Pd2 0.000 0.000 0.500
Pd3 0.500 0.000 0.000

Summary:
For the excess energy over the best structure of this formula in the dataset, the calculation gives 0.000 eV/atom. The value obtained for the final energy is -6.14 eV/atom. As for the formation energy: 1.48 eV per atom.